Compound: KGe2HIr
Source: Alexandria via LeMat-Bulk
Functional: GGA-PBE
Structure: optimized geometry

Lattice parameters (Å, degrees): 5.2721 5.2721 3.4044 90.00 90.00 90.00
Closest atoms and distances in Å follow each position.
Positions (direct):
K 0.0000 0.0000 0.0000  2 H 1.70
Ge 0.0000 0.5000 0.0000  2 K 2.64
Ge 0.5000 0.0000 0.0000  2 K 2.64
H 0.0000 0.0000 0.5000  2 K 1.70
Ir 0.5000 0.5000 0.5000  8 Ge 3.14, 2 Ir 3.40

Calculated values
Space group = No. 123
Total DFT energy (no corrections) = -2.804 eV/atom

---

Compound: La2Ge2HIr2
Source: Alexandria via LeMat-Bulk
Functional: GGA-PBE
Structure: optimized geometry

Lattice parameters (Å, degrees): 5.9892 5.9892 7.2558 126.62 126.62 42.46
Closest atoms and distances in Å follow each position.
Positions (direct):
La 0.0518 0.0518 0.2858  2 H 2.79, 1 Ge 3.12
La 0.9482 0.9482 0.7142  2 H 2.79, 1 Ge 3.12
Ge 0.3304 0.3304 0.2846  3 Ir 2.47-2.54
Ge 0.6696 0.6696 0.7154  3 Ir 2.47-2.54
H 0.5000 0.5000 0.0000  2 Ir 1.89
Ir 0.2973 0.2973 0.9040  1 H 1.89
Ir 0.7027 0.7027 0.0960  1 H 1.89

Calculated values
Space group = No. 12
Total DFT energy (no corrections) = -6.460 eV/atom

---

Compound: La2GeHIr
Source: Alexandria via LeMat-Bulk
Functional: GGA-PBE
Structure: optimized geometry

Lattice parameters (Å, degrees): 5.3204 5.3204 3.6646 90.00 90.00 90.00
Closest atoms and distances in Å follow each position.
Positions (direct):
La 0.0000 0.5000 0.0000  2 H 2.66
La 0.5000 0.0000 0.0000  2 H 2.66
Ge 0.0000 0.0000 0.5000  8 La 3.23
H 0.5000 0.5000 0.0000  2 Ir 1.83
Ir 0.5000 0.5000 0.5000  2 H 1.83

Calculated values
Space group = No. 123
Total DFT energy (no corrections) = -5.910 eV/atom

---

Compound: LaGeHIr
Source: Alexandria via LeMat-Bulk
Functional: GGA-PBE
Structure: optimized geometry

Lattice parameters (Å, degrees): 4.1979 4.1979 7.8214 90.00 90.00 90.00
Closest atoms and distances in Å follow each position.
Positions (direct):
La 0.2500 0.2500 0.1668  4 H 2.47
La 0.7500 0.7500 0.8332  4 H 2.47
Ge 0.2500 0.2500 0.6761  4 Ir 2.51
Ge 0.7500 0.7500 0.3239  4 Ir 2.51
H 0.2500 0.7500 0.0000  4 La 2.47
H 0.7500 0.2500 0.0000  4 La 2.47
Ir 0.2500 0.7500 0.5000  4 Ge 2.51
Ir 0.7500 0.2500 0.5000  4 Ge 2.51

Calculated values
Space group = No. 129
Total DFT energy (no corrections) = -6.235 eV/atom

---

Compound: LiGe2HIr
Source: Alexandria via LeMat-Bulk
Functional: GGA-PBE
Structure: optimized geometry

Lattice parameters (Å, degrees): 4.7671 4.7671 2.9573 90.00 90.00 90.00
Closest atoms and distances in Å follow each position.
Positions (direct):
Li 0.0000 0.0000 0.0000  2 H 1.48
Ge 0.0000 0.5000 0.0000  2 Li 2.38
Ge 0.5000 0.0000 0.0000  2 Li 2.38
H 0.0000 0.0000 0.5000  2 Li 1.48
Ir 0.5000 0.5000 0.5000  8 Ge 2.80, 2 Ir 2.96

Calculated values
Space group = No. 123
Total DFT energy (no corrections) = -4.138 eV/atom

---

Compound: MnGeHIr2
Source: Alexandria via LeMat-Bulk
Functional: GGA-PBE
Structure: optimized geometry

Lattice parameters (Å, degrees): 3.9831 3.9831 3.7806 90.00 90.00 90.00
Closest atoms and distances in Å follow each position.
Positions (direct):
Mn 0.0000 0.0000 0.0000  2 H 1.89
Ge 0.5000 0.5000 0.0000  8 Ir 2.75, 4 Mn 2.82
H 0.0000 0.0000 0.5000  2 Mn 1.89, 4 Ir 1.99
Ir 0.0000 0.5000 0.5000  2 H 1.99
Ir 0.5000 0.0000 0.5000  2 H 1.99

Calculated values
Space group = No. 123
Total DFT energy (no corrections) = -7.001 eV/atom

---

Compound: MnGe2HIr
Source: Alexandria via LeMat-Bulk
Functional: GGA-PBE
Structure: optimized geometry

Lattice parameters (Å, degrees): 4.2486 4.2486 3.3591 90.00 90.00 90.00
Closest atoms and distances in Å follow each position.
Positions (direct):
Mn 0.0000 0.0000 0.0000  8 Ge 2.71, 4 Ir 3.00
Ge 0.0000 0.5000 0.5000  2 H 2.12
Ge 0.5000 0.0000 0.5000  2 H 2.12
H 0.5000 0.5000 0.5000  2 Ir 1.68
Ir 0.5000 0.5000 0.0000  2 H 1.68

Calculated values
Space group = No. 123
Total DFT energy (no corrections) = -5.775 eV/atom

---

Compound: Nb2GeHIr
Source: Alexandria via LeMat-Bulk
Functional: GGA-PBE
Structure: optimized geometry

Lattice parameters (Å, degrees): 4.0673 4.0673 4.1150 90.00 90.00 90.00
Closest atoms and distances in Å follow each position.
Positions (direct):
Nb 0.0000 0.5000 0.0000  2 H 2.03
Nb 0.5000 0.0000 0.0000  2 H 2.03
Ge 0.0000 0.0000 0.5000  4 Ir 2.88, 8 Nb 2.89
H 0.5000 0.5000 0.0000  4 Nb 2.03, 2 Ir 2.06
Ir 0.5000 0.5000 0.5000  2 H 2.06

Calculated values
Space group = No. 123
Total DFT energy (no corrections) = -7.612 eV/atom

---

Compound: NiGe2HIr
Source: Alexandria via LeMat-Bulk
Functional: GGA-PBE
Structure: optimized geometry

Lattice parameters (Å, degrees): 4.4355 4.4355 3.1076 90.00 90.00 90.00
Closest atoms and distances in Å follow each position.
Positions (direct):
Ni 0.0000 0.0000 0.0000  2 H 1.55
Ge 0.0000 0.5000 0.5000  2 H 2.22
Ge 0.5000 0.0000 0.5000  2 H 2.22
H 0.0000 0.0000 0.5000  2 Ni 1.55
Ir 0.5000 0.5000 0.0000  8 Ge 2.71

Calculated values
Space group = No. 123
Total DFT energy (no corrections) = -5.311 eV/atom

---

Compound: NpGeHIr
Source: Alexandria via LeMat-Bulk
Functional: GGA-PBE
Structure: optimized geometry

Lattice parameters (Å, degrees): 4.3656 4.3656 3.7216 90.00 90.00 120.00
Closest atoms and distances in Å follow each position.
Positions (direct):
Np 0.0000 0.0000 0.0000  3 H 2.52
Ge 0.3333 0.6667 0.5000  3 Ir 2.52
H 0.6667 0.3333 0.0000  2 Ir 1.86
Ir 0.6667 0.3333 0.5000  2 H 1.86

Calculated values
Space group = No. 187
Total DFT energy (no corrections) = -7.806 eV/atom

---

Compound: GeP2HIr
Source: Alexandria via LeMat-Bulk
Functional: GGA-PBE
Structure: optimized geometry

Lattice parameters (Å, degrees): 4.4551 4.4551 5.5035 90.00 90.00 90.00
Closest atoms and distances in Å follow each position.
Positions (direct):
Ge 0.0000 0.0000 0.0000  2 Ir 2.75
P 0.0000 0.5000 0.5000  2 Ir 2.23
P 0.5000 0.0000 0.5000  2 Ir 2.23
H 0.5000 0.5000 0.0000  4 Ge 3.15
Ir 0.0000 0.0000 0.5000  4 P 2.23

Calculated values
Space group = No. 123
Total DFT energy (no corrections) = -4.588 eV/atom

---

Compound: PaGeHIr
Source: Alexandria via LeMat-Bulk
Functional: GGA-PBE
Structure: optimized geometry

Lattice parameters (Å, degrees): 4.3614 4.3614 3.7352 90.00 90.00 120.00
Closest atoms and distances in Å follow each position.
Positions (direct):
Pa 0.0000 0.0000 0.0000  3 H 2.52
Ge 0.3333 0.6667 0.5019  3 Ir 2.52
H 0.6667 0.3333 0.9995  2 Ir 1.87
Ir 0.6667 0.3333 0.4989  2 H 1.87

Calculated values
Space group = No. 156
Total DFT energy (no corrections) = -7.280 eV/atom

---

Compound: GeH2IrPd
Source: Alexandria via LeMat-Bulk
Functional: GGA-PBE
Structure: optimized geometry

Lattice parameters (Å, degrees): 3.4652 3.4652 5.4125 90.00 90.00 90.00
Closest atoms and distances in Å follow each position.
Positions (direct):
Ge 0.0000 0.0000 0.0000  4 Pd 2.45
H 0.0000 0.5000 0.5000  2 Ir 1.73
H 0.5000 0.0000 0.5000  2 Ir 1.73
Ir 0.5000 0.5000 0.5000  4 H 1.73
Pd 0.5000 0.5000 0.0000  4 Ge 2.45, 2 Ir 2.71

Calculated values
Space group = No. 123
Total DFT energy (no corrections) = -4.781 eV/atom

---

Compound: Pm2Ge2HIr2
Source: Alexandria via LeMat-Bulk
Functional: GGA-PBE
Structure: optimized geometry

Lattice parameters (Å, degrees): 5.8018 5.8018 7.0660 125.97 125.97 43.47
Closest atoms and distances in Å follow each position.
Positions (direct):
Pm 0.0575 0.0575 0.2908  2 H 2.76, 1 Ge 3.03
Pm 0.9425 0.9425 0.7092  2 H 2.76, 1 Ge 3.03
Ge 0.3409 0.3409 0.2965  3 Ir 2.47-2.55, 1 Ge 2.75
Ge 0.6591 0.6591 0.7035  3 Ir 2.47-2.55, 1 Ge 2.75
H 0.5000 0.5000 0.0000  2 Ir 1.84
Ir 0.2944 0.2944 0.8950  1 H 1.84
Ir 0.7056 0.7056 0.1050  1 H 1.84

Calculated values
Space group = No. 12
Total DFT energy (no corrections) = -6.408 eV/atom

---

Compound: PmGeHIr
Source: Alexandria via LeMat-Bulk
Functional: GGA-PBE
Structure: optimized geometry

Lattice parameters (Å, degrees): 4.1437 4.1437 7.5277 90.00 90.00 90.00
Closest atoms and distances in Å follow each position.
Positions (direct):
Pm 0.2500 0.2500 0.1620  4 H 2.40
Pm 0.7500 0.7500 0.8380  4 H 2.40
Ge 0.2500 0.2500 0.6861  4 Ir 2.50
Ge 0.7500 0.7500 0.3139  4 Ir 2.50
H 0.2500 0.7500 0.0000  4 Pm 2.40
H 0.7500 0.2500 0.0000  4 Pm 2.40
Ir 0.2500 0.7500 0.5000  4 Ge 2.50
Ir 0.7500 0.2500 0.5000  4 Ge 2.50

Calculated values
Space group = No. 129
Total DFT energy (no corrections) = -6.169 eV/atom

---

Compound: PrGeHIr2
Source: Alexandria via LeMat-Bulk
Functional: GGA-PBE
Structure: optimized geometry

Lattice parameters (Å, degrees): 5.8168 5.8168 7.2791 90.00 90.00 139.53
Closest atoms and distances in Å follow each position.
Positions (direct):
Pr 0.0586 0.9414 0.7500  4 H 2.79, 1 Ge 3.07
Pr 0.9414 0.0586 0.2500  4 H 2.79, 1 Ge 3.07
Ge 0.2226 0.7774 0.2500  6 Ir 2.55-2.56
Ge 0.7774 0.2226 0.7500  6 Ir 2.55-2.56
H 0.5000 0.5000 0.0000  2 Ir 1.79
H 0.5000 0.5000 0.5000  2 Ir 1.79
Ir 0.3397 0.6603 0.5549  1 H 1.79
Ir 0.3397 0.6603 0.9451  1 H 1.79
Ir 0.6603 0.3397 0.0549  1 H 1.79
Ir 0.6603 0.3397 0.4451  1 H 1.79

Calculated values
Space group = No. 63
Total DFT energy (no corrections) = -6.630 eV/atom

---

Compound: PrGeHIr
Source: Alexandria via LeMat-Bulk
Functional: GGA-PBE
Structure: optimized geometry

Lattice parameters (Å, degrees): 4.1674 4.1674 7.7236 90.00 90.00 90.00
Closest atoms and distances in Å follow each position.
Positions (direct):
Pr 0.2500 0.2500 0.1645  4 H 2.44
Pr 0.7500 0.7500 0.8355  4 H 2.44
Ge 0.2500 0.2500 0.6795  4 Ir 2.50
Ge 0.7500 0.7500 0.3205  4 Ir 2.50
H 0.2500 0.7500 0.0000  4 Pr 2.44
H 0.7500 0.2500 0.0000  4 Pr 2.44
Ir 0.2500 0.7500 0.5000  4 Ge 2.50
Ir 0.7500 0.2500 0.5000  4 Ge 2.50

Calculated values
Space group = No. 129
Total DFT energy (no corrections) = -6.160 eV/atom

---

Compound: Pu2Ge2HIr2
Source: Alexandria via LeMat-Bulk
Functional: GGA-PBE
Structure: optimized geometry

Lattice parameters (Å, degrees): 5.7901 5.7901 6.7638 125.02 125.02 43.10
Closest atoms and distances in Å follow each position.
Positions (direct):
Pu 0.0567 0.0567 0.2790  2 H 2.65
Pu 0.9433 0.9433 0.7210  2 H 2.65
Ge 0.3464 0.3464 0.3067  3 Ir 2.47-2.52, 1 Ge 2.67
Ge 0.6536 0.6536 0.6933  3 Ir 2.47-2.52, 1 Ge 2.67
H 0.5000 0.5000 0.0000  2 Ir 1.85
Ir 0.2938 0.2938 0.8881  1 H 1.85
Ir 0.7062 0.7062 0.1119  1 H 1.85

Calculated values
Space group = No. 12
Total DFT energy (no corrections) = -8.892 eV/atom

---

Compound: PuGeHIr
Source: Alexandria via LeMat-Bulk
Functional: GGA-PBE
Structure: optimized geometry

Lattice parameters (Å, degrees): 4.3702 4.3702 3.7727 90.00 90.00 120.00
Closest atoms and distances in Å follow each position.
Positions (direct):
Pu 0.0000 0.0000 0.0000  3 H 2.52
Ge 0.3333 0.6667 0.5000  3 Ir 2.52
H 0.6667 0.3333 0.0000  2 Ir 1.89
Ir 0.6667 0.3333 0.5000  2 H 1.89

Calculated values
Space group = No. 187
Total DFT energy (no corrections) = -8.294 eV/atom

---

Compound: Rb2GeHIr
Source: Alexandria via LeMat-Bulk
Functional: GGA-PBE
Structure: optimized geometry

Lattice parameters (Å, degrees): 6.5351 6.5351 4.6183 90.00 90.00 90.00
Closest atoms and distances in Å follow each position.
Positions (direct):
Rb 0.0000 0.5000 0.0000  2 Ir 3.27
Rb 0.5000 0.0000 0.0000  2 Ir 3.27
Ge 0.0000 0.0000 0.5000  2 Ir 2.31
H 0.5000 0.5000 0.5000  8 Rb 4.00
Ir 0.0000 0.0000 0.0000  2 Ge 2.31

Calculated values
Space group = No. 123
Total DFT energy (no corrections) = -3.313 eV/atom